# Na3NbS4

Crystalline Na3NbS4 at its relaxed geometry (PBE-GGA, Alexandria via LeMat-Bulk).

Summary:
The crystal system is orthorhombic. Its total energy is -315.21 eV per cell. The calculation puts the formation energy without anion corrections at -8.86 eV/f.u.

Unit cell a=14.9714 b=14.2325 c=19.8698 alpha=48.71 beta=45.58 gamma=85.71
Last column: nearest neighbours and their distance in Å.
Fractional coordinates of all 64 atoms:
1 Na 0.0099 0.0099 0.9901  6 S 2.90-3.24
2 Na 0.0426 0.5437 0.9510  6 S 2.84-3.16
3 Na 0.1019 0.3981 0.8424  6 S 2.85-3.00
4 Na 0.1048 0.9101 0.6429  6 S 2.86-3.04
5 Na 0.2599 0.2599 0.2401  6 S 2.90-3.24
6 Na 0.2990 0.7873 0.2074  6 S 2.84-3.16
7 Na 0.3918 0.9156 0.3979  6 S 2.96-3.28
8 Na 0.3981 0.1019 0.6576  6 S 2.85-3.00
9 Na 0.4076 0.5924 0.1481  6 S 2.85-3.00
10 Na 0.4104 0.5005 0.7728  5 S 2.94-3.22
11 Na 0.4772 0.9337 0.8396  5 S 2.94-3.22
12 Na 0.5005 0.4104 0.3163  5 S 2.94-3.22
13 Na 0.5292 0.5292 0.4708  4 S 2.89-2.98
14 Na 0.5437 0.0426 0.4627  6 S 2.84-3.16
15 Na 0.5924 0.4076 0.8519  6 S 2.85-3.00
16 Na 0.6071 0.9078 0.1452  6 S 2.86-3.04
17 Na 0.7792 0.7792 0.7208  4 S 2.89-2.98
18 Na 0.7873 0.2990 0.7063  6 S 2.84-3.16
19 Na 0.8521 0.9553 0.8582  6 S 2.96-3.28
20 Na 0.9078 0.6071 0.3399  6 S 2.86-3.04
21 Na 0.9101 0.1048 0.3422  6 S 2.86-3.04
22 Na 0.9156 0.3918 0.2947  6 S 2.96-3.28
23 Na 0.9337 0.4772 0.7495  5 S 2.94-3.22
24 Na 0.9553 0.8521 0.3344  6 S 2.96-3.28
25 Nb 0.2032 0.9424 0.3111  4 S 2.29-2.31
26 Nb 0.2226 0.4326 0.5480  4 S 2.28-2.31
27 Nb 0.4326 0.2226 0.7967  4 S 2.28-2.31
28 Nb 0.4533 0.7020 0.8174  4 S 2.28-2.31
29 Nb 0.7020 0.4533 0.0274  4 S 2.28-2.31
30 Nb 0.7067 0.9389 0.3076  4 S 2.29-2.31
31 Nb 0.9389 0.7067 0.0468  4 S 2.29-2.31
32 Nb 0.9424 0.2032 0.5433  4 S 2.29-2.31
33 S 0.0626 0.4847 0.3654  1 Nb 2.30
34 S 0.0750 0.7599 0.0508  1 Nb 2.30
35 S 0.1357 0.1992 0.4901  1 Nb 2.30
36 S 0.1388 0.9144 0.4708  1 Nb 2.29
37 S 0.1626 0.8846 0.7653  1 Nb 2.30
38 S 0.1806 0.4897 0.0086  1 Nb 2.28
39 S 0.1992 0.1357 0.1750  1 Nb 2.30
40 S 0.2414 0.9289 0.0694  1 Nb 2.28
41 S 0.2681 0.2776 0.8301  1 Nb 2.29
42 S 0.2776 0.2681 0.6241  1 Nb 2.29
43 S 0.2793 0.5978 0.5325  1 Nb 2.31
44 S 0.4087 0.7445 0.5885  1 Nb 2.31
45 S 0.4158 0.6325 0.2673  1 Nb 2.30
46 S 0.4199 0.6259 0.9819  1 Nb 2.29
47 S 0.4847 0.0626 0.0874  1 Nb 2.30
48 S 0.4897 0.1806 0.3211  1 Nb 2.28
49 S 0.5656 0.9827 0.6175  1 Nb 2.30
50 S 0.5978 0.2793 0.5904  1 Nb 2.31
51 S 0.6259 0.4199 0.9724  1 Nb 2.29
52 S 0.6325 0.4158 0.6844  1 Nb 2.30
53 S 0.6596 0.7175 0.6522  1 Nb 2.31
54 S 0.6615 0.9917 0.8413  1 Nb 2.31
55 S 0.7175 0.6596 0.9707  1 Nb 2.31
56 S 0.7445 0.4087 0.2583  1 Nb 2.31
57 S 0.7599 0.0750 0.1143  1 Nb 2.30
58 S 0.7739 0.7792 0.3356  1 Nb 2.29
59 S 0.7792 0.7739 0.1112  1 Nb 2.29
60 S 0.8846 0.1626 0.1874  1 Nb 2.30
61 S 0.9144 0.1388 0.4761  1 Nb 2.29
62 S 0.9289 0.2414 0.7603  1 Nb 2.28
63 S 0.9827 0.5656 0.8342  1 Nb 2.30
64 S 0.9917 0.6615 0.5055  1 Nb 2.31